# Ti2CuPd2 | Alexandria | GGA-PBE | relaxed
# - Energy above the lowest structure with this stoichiometry: 0.080 eV per formula unit
# - E: -63.6 eV for the cell shown
# - V: 160 Å³ per cell
# - Formation energy: -308 meV per atom
data_Ti2CuPd2
_cell_length_a 7.2541
_cell_length_b 7.2541
_cell_length_c 3.0489
_cell_angle_alpha 90.00
_cell_angle_beta 90.00
_cell_angle_gamma 90.00
_space_group_name_H-M_alt 'P 4/m b m'
_space_group_IT_number 127
_space_group_name_Hall '-P 4 2ab'
loop_
_atom_site_label
_atom_site_type_symbol
_atom_site_fract_x
_atom_site_fract_y
_atom_site_fract_z
Ti1 Ti 0.1688 0.3312 0.0000
Cu1 Cu 0.0000 0.0000 0.5000
Pd1 Pd 0.1338 0.6338 0.5000



# GdPuSn2 | Alexandria | GGA-PBE | relaxed
# - Energy above the lowest structure with this stoichiometry: 0.369 eV per formula unit
# - E: -152.9 eV for the cell shown
# - V: 435 Å³ per cell
# - Formation energy: -451 meV per atom
data_GdPuSn2
_cell_length_a 7.5795
_cell_length_b 7.5795
_cell_length_c 7.5795
_cell_angle_alpha 90.00
_cell_angle_beta 90.00
_cell_angle_gamma 90.00
_space_group_name_H-M_alt 'F m -3 m'
_space_group_IT_number 225
_space_group_name_Hall '-F 4 2 3'
loop_
_atom_site_label
_atom_site_type_symbol
_atom_site_fract_x
_atom_site_fract_y
_atom_site_fract_z
Gd1 Gd 0.0000 0.0000 0.0000
Pu1 Pu 0.0000 0.0000 0.5000
Sn1 Sn 0.2500 0.2500 0.2500



# TaAlB3 | Alexandria | GGA-PBE | relaxed
# - E: -28.3 eV for the cell shown
# - V: 77 Å³ per cell
# - Formation energy: 1465 meV per atom
data_TaAlB3
_cell_length_a 4.2578
_cell_length_b 4.2578
_cell_length_c 4.2578
_cell_angle_alpha 90.00
_cell_angle_beta 90.00
_cell_angle_gamma 90.00
_space_group_name_H-M_alt 'P m -3 m'
_space_group_IT_number 221
_space_group_name_Hall '-P 4 2 3'
loop_
_atom_site_label
_atom_site_type_symbol
_atom_site_fract_x
_atom_site_fract_y
_atom_site_fract_z
Ta1 Ta 0.0000 0.0000 0.0000
Al1 Al 0.5000 0.5000 0.5000
B1 B 0.0000 0.0000 0.5000



# OsAu | Alexandria | GGA-PBE | relaxed
# - Energy above the lowest structure with this stoichiometry: 0.740 eV per formula unit
# - E: -105.6 eV for the cell shown
# - V: 274 Å³ per cell
# - Formation energy: 654 meV per atom
data_OsAu
_cell_length_a 8.0675
_cell_length_b 8.0675
_cell_length_c 4.2126
_cell_angle_alpha 90.00
_cell_angle_beta 90.00
_cell_angle_gamma 90.00
_space_group_name_H-M_alt 'I 4/m m m'
_space_group_IT_number 139
_space_group_name_Hall '-I 4 2'
loop_
_atom_site_label
_atom_site_type_symbol
_atom_site_fract_x
_atom_site_fract_y
_atom_site_fract_z
Os1 Os 0.1553 0.1553 0.0000
Au1 Au 0.0000 0.3057 0.5000



# La2Pm5Tm | Alexandria | GGA-PBE | relaxed
# - Energy above the lowest structure with this stoichiometry: 0.307 eV per formula unit
# - E: -148.4 eV for the cell shown
# - V: 1130 Å³ per cell
# - Formation energy: 123 meV per atom
data_La2Pm5Tm
_cell_length_a 5.7407
_cell_length_b 12.0533
_cell_length_c 16.3282
_cell_angle_alpha 90.00
_cell_angle_beta 90.00
_cell_angle_gamma 90.00
_space_group_name_H-M_alt 'C m c m'
_space_group_IT_number 63
_space_group_name_Hall '-C 2c 2'
loop_
_atom_site_label
_atom_site_type_symbol
_atom_site_fract_x
_atom_site_fract_y
_atom_site_fract_z
La1 La 0.0000 0.2199 0.1303
Pm1 Pm 0.0000 0.0784 0.5916
Pm2 Pm 0.0000 0.3833 0.5517
Pm3 Pm 0.0000 0.4638 0.2500
Tm1 Tm 0.0000 0.2576 0.7500



What did the fifth record say?
# La2Pm5Tm | Alexandria | GGA-PBE | relaxed
# - Energy above the lowest structure with this stoichiometry: 0.307 eV per formula unit
# - E: -148.4 eV for the cell shown
# - V: 1130 Å³ per cell
# - Formation energy: 123 meV per atom
data_La2Pm5Tm
_cell_length_a 5.7407
_cell_length_b 12.0533
_cell_length_c 16.3282
_cell_angle_alpha 90.00
_cell_angle_beta 90.00
_cell_angle_gamma 90.00
_space_group_name_H-M_alt 'C m c m'
_space_group_IT_number 63
_space_group_name_Hall '-C 2c 2'
loop_
_atom_site_label
_atom_site_type_symbol
_atom_site_fract_x
_atom_site_fract_y
_atom_site_fract_z
La1 La 0.0000 0.2199 0.1303
Pm1 Pm 0.0000 0.0784 0.5916
Pm2 Pm 0.0000 0.3833 0.5517
Pm3 Pm 0.0000 0.4638 0.2500
Tm1 Tm 0.0000 0.2576 0.7500



Q: Look up the formation energy of the fourth one.
A: 654 meV per atom